The following is a DFT calculation (PBE-GGA) of a relaxed structure of SrCeCu2.

## Properties
Fermi-level density of states in states/eV/f.u.: 5.6
Formation enthalpy at 0 K in eV/f.u.: -0.10
Magnetic moment in μB per cell: 0.66
DFT total energy in eV/atom: -3.98

Lattice parameters (Å, degrees): 3.662 3.662 7.304 90.00 90.00 90.00
Each line ends with the local moment (μB).
Element x y z (fractional)
Sr: 0.500 0.500 0.500  0.00
Cu: 0.000 0.000 0.802  0.00
Cu: 0.000 0.000 0.198  0.00
Ce: 0.500 0.500 0.000  0.56